Entry 1:
# Pa2TeSe2N

Crystalline Pa2TeSe2N at its relaxed geometry (PBE, Alexandria via LeMat-Bulk).

total moment = 0.2735 μB/atom
crystal system = orthorhombic
total DFT energy (no corrections) = -91.03 eV per cell
SG = Ibam, No. 72
E_form (uncorrected) = -1348 meV/atom

Cell: 5.798 7.555 8.184 Å, 117.49 110.75 90.00°
Atoms (fractional coordinates):
Pa (0.397, 0.553, 0.794)
Pa (0.603, 0.447, 0.206)
Pa (0.103, 0.758, 0.206)
Pa (0.897, 0.242, 0.794)
Te (0.250, 0.000, 0.000)
Te (0.750, 0.000, 0.000)
Se (0.698, 0.871, 0.395)
Se (0.198, 0.524, 0.395)
Se (0.802, 0.476, 0.605)
Se (0.302, 0.129, 0.605)
N (0.750, 0.500, 0.000)
N (0.250, 0.500, 0.000)

=====

Entry 2:
# Nd8HoTm4

Crystalline Nd8HoTm4 at its relaxed geometry (PBE, Alexandria via LeMat-Bulk).

total moment = 0.0000 μB/atom
crystal system = trigonal
total DFT energy (no corrections) = -58.05 eV per cell
SG = R-3m, No. 166
energy of formation = 0.20 eV/atom

Cell: 7.243 7.243 10.545 Å, 90.00 110.09 120.00°
Atoms (fractional coordinates):
Nd (0.575, 0.788, 0.363)
Nd (0.425, 0.212, 0.637)
Nd (0.498, 0.249, 0.289)
Nd (0.960, 0.209, 0.711)
Nd (0.502, 0.751, 0.711)
Nd (0.960, 0.751, 0.711)
Nd (0.040, 0.249, 0.289)
Nd (0.040, 0.791, 0.289)
Ho (0.000, 0.500, 0.500)
Tm (0.000, 0.000, 0.000)
Tm (0.000, 0.500, 0.000)
Tm (0.500, 0.500, 0.000)
Tm (0.500, 0.000, 0.000)

=====

Entry 3:
# BeCu2

Crystalline BeCu2 at its relaxed geometry (PBE, Alexandria via LeMat-Bulk).

total moment = 0.0000 μB/atom
crystal system = hexagonal
total DFT energy (no corrections) = -11.52 eV per cell
SG = P6/mmm, No. 191
energy of formation = 0.13 eV/atom

Cell: 4.014 4.014 2.395 Å, 90.00 90.00 120.00°
Atoms (fractional coordinates):
Be (0.000, 0.000, 0.500)
Cu (0.667, 0.333, 0.000)
Cu (0.333, 0.667, 0.000)